A crystal of CoAg3Se relaxed with PBEsol. Source: Alexandria, functional meta-GGA SCAN.

extended XYZ file:
```
5
Lattice="4.6727 0.0000 0.0000 0.0000 4.6727 0.0000 0.0000 0.0000 4.6727" Properties=species:S:1:pos:R:3 pbc="T T T"
Co 0.0000 0.0000 0.0000
Ag 0.0000 0.0000 2.3364
Ag 0.0000 2.3364 0.0000
Ag 2.3364 0.0000 0.0000
Se 2.3364 2.3364 2.3364
```

Calculated values
M_tot   2.094 μB per cell
Energy relative to the elements, uncorrected   0.920 eV/atom
Mass density   7.51 Mg/m³